Entry 1:
The following is a PBE-GGA calculation of a relaxed Sm5DyMg6 crystal, from the Alexandria database.

D(E_F) in states/eV/cell: 14.2
Magnetic moment in μB/cell: 0.00
Space-group type: Cmmm
Energy of formation in eV/atom: -0.10
Electronic total energy in eV per atom: -3.246

Cell lengths 5.4289, 7.6674, 8.5876 Å; angles 90.00, 71.57, 90.00 degrees
Fractional coordinates of all 12 atoms:
Sm: 0.0000 0.5000 0.0000
Sm: 0.3345 0.0000 0.3310
Sm: 0.6678 0.5000 0.6645
Sm: 0.3322 0.5000 0.3355
Sm: 0.6655 0.0000 0.6690
Mg: 0.1656 0.7530 0.6688
Mg: 0.8344 0.7530 0.3312
Mg: 0.8344 0.2470 0.3312
Mg: 0.5000 0.7510 0.0000
Mg: 0.1656 0.2470 0.6688
Mg: 0.5000 0.2490 0.0000
Dy: 0.0000 0.0000 0.0000

Entry 2:
The following is a PBE-GGA calculation of a relaxed Sm3Dy6Mg crystal, from the Alexandria database.

D(E_F) in states/eV/cell: 28.4
Magnetic moment in μB/cell: 0.00
Space-group type: R-3
Energy of formation in eV/atom: 0.19
Electronic total energy in eV per atom: -4.149
E above lowest polymorph in eV/atom: 0.065

Cell lengths 10.3981, 10.3981, 10.3981 Å; angles 52.22, 52.22, 52.22 degrees
Fractional coordinates of all 20 atoms:
Mg: 0.0000 0.0000 0.0000
Mg: 0.5000 0.5000 0.5000
Sm: 0.2743 0.5738 0.1502
Sm: 0.4262 0.8498 0.7257
Sm: 0.5738 0.1502 0.2743
Sm: 0.8498 0.7257 0.4262
Sm: 0.7257 0.4262 0.8498
Sm: 0.1502 0.2743 0.5738
Dy: 0.5864 0.7076 0.0232
Dy: 0.9768 0.4136 0.2924
Dy: 0.8806 0.2982 0.1414
Dy: 0.4136 0.2924 0.9768
Dy: 0.2982 0.1414 0.8806
Dy: 0.2924 0.9768 0.4136
Dy: 0.0232 0.5864 0.7076
Dy: 0.1194 0.7018 0.8586
Dy: 0.7018 0.8586 0.1194
Dy: 0.8586 0.1194 0.7018
Dy: 0.7076 0.0232 0.5864
Dy: 0.1414 0.8806 0.2982

Entry 3:
The following is a PBE-GGA calculation of a relaxed Sm8Dy4Mg crystal, from the Alexandria database.

D(E_F) in states/eV/cell: 18.8
Magnetic moment in μB/cell: 0.00
Space-group type: P-1
Energy of formation in eV/atom: 0.50
Electronic total energy in eV per atom: -3.944

Cell lengths 11.0033, 11.0167, 7.7804 Å; angles 90.35, 134.75, 119.99 degrees
Fractional coordinates of all 13 atoms:
Sm: 0.5100 0.7536 0.7554
Sm: 0.4897 0.2433 0.7345
Sm: 0.9993 0.7545 0.7551
Sm: 0.0007 0.2457 0.7546
Sm: 0.5103 0.7567 0.2655
Sm: 0.0007 0.2455 0.2449
Sm: 0.4900 0.2464 0.2446
Sm: 0.9993 0.7543 0.2454
Dy: 0.0000 0.5000 0.0000
Dy: 0.5000 0.5000 0.0000
Dy: 0.5000 0.0000 0.0000
Dy: 0.0000 0.0000 0.0000
Mg: 0.0000 0.5000 0.5000

Entry 4:
The following is a PBE-GGA calculation of a relaxed SmDyMg3 crystal, from the Alexandria database.

D(E_F) in states/eV/cell: 18.0
Magnetic moment in μB/cell: 0.00
Space-group type: C2/c
Energy of formation in eV/atom: 0.13
Electronic total energy in eV per atom: -2.693
E above lowest polymorph in eV/atom: 0.111

Cell lengths 3.4884, 13.6641, 13.6641 Å; angles 63.85, 82.06, 82.06 degrees
Fractional coordinates of all 20 atoms:
Mg: 0.6232 0.2026 0.0413
Mg: 0.8575 0.2895 0.4484
Mg: 0.3624 0.1313 0.6305
Mg: 0.6425 0.5516 0.7105
Mg: 0.1425 0.7105 0.5516
Mg: 0.1376 0.3695 0.8687
Mg: 0.6376 0.8687 0.3695
Mg: 0.8624 0.6305 0.1313
Mg: 0.1232 0.0413 0.2026
Mg: 0.3575 0.4484 0.2895
Mg: 0.8768 0.9587 0.7974
Mg: 0.3768 0.7974 0.9587
Sm: 0.4845 0.1366 0.3574
Sm: 0.0155 0.6426 0.8634
Sm: 0.9845 0.3574 0.1366
Sm: 0.5155 0.8634 0.6426
Dy: 0.2500 0.1098 0.8902
Dy: 0.7500 0.3310 0.6690
Dy: 0.2500 0.6690 0.3310
Dy: 0.7500 0.8902 0.1098

Entry 5:
The following is a PBE-GGA calculation of a relaxed Sm9Dy4Mg11 crystal, from the Alexandria database.

D(E_F) in states/eV/cell: 27.7
Magnetic moment in μB/cell: 0.29
Space-group type: Cmmm
Energy of formation in eV/atom: -0.04
Electronic total energy in eV per atom: -3.306

Cell lengths 3.6757, 14.0685, 14.0685 Å; angles 108.76, 90.00, 90.00 degrees
Site moments in Bohr magnetons follow the coordinates.
Fractional coordinates of all 24 atoms:
Dy: 0.5000 0.7485 0.5758  0.04
Dy: 0.5000 0.4242 0.2515  0.04
Dy: 0.5000 0.5758 0.7485  0.04
Dy: 0.5000 0.2515 0.4242  0.04
Mg: 0.0000 0.4117 0.0551  0.00
Mg: 0.0000 0.3667 0.6333  0.00
Mg: 0.0000 0.2254 0.2254  0.00
Mg: 0.0000 0.9449 0.5883  0.00
Mg: 0.0000 0.5883 0.9449  0.00
Mg: 0.0000 0.6333 0.3667  0.00
Mg: 0.0000 0.7746 0.7746  0.00
Mg: 0.0000 0.1754 0.8246  0.00
Mg: 0.0000 0.0551 0.4117  0.00
Mg: 0.0000 0.8246 0.1754  0.00
Mg: 0.0000 0.0000 0.0000  0.00
Sm: 0.5000 0.3780 0.8486  -0.01
Sm: 0.5000 0.6220 0.1514  -0.01
Sm: 0.5000 0.9735 0.7926  0.00
Sm: 0.5000 0.5000 0.5000  0.10
Sm: 0.5000 0.8486 0.3780  -0.01
Sm: 0.5000 0.7926 0.9735  0.00
Sm: 0.5000 0.1514 0.6220  -0.01
Sm: 0.5000 0.2074 0.0265  0.00
Sm: 0.5000 0.0265 0.2074  0.00

Entry 6:
The following is a PBE-GGA calculation of a relaxed Sm5Dy4Mg2 crystal, from the Alexandria database.

D(E_F) in states/eV/cell: 15.7
Magnetic moment in μB/cell: 0.00
Space-group type: C2/m
Energy of formation in eV/atom: 0.05
Electronic total energy in eV per atom: -4.054

Cell lengths 3.5332, 8.7801, 13.8814 Å; angles 125.35, 97.31, 90.00 degrees
Fractional coordinates of all 11 atoms:
Mg: 0.4459 0.2708 0.8918
Mg: 0.5541 0.7292 0.1082
Sm: 0.8673 0.8318 0.7346
Sm: 0.5000 0.0000 0.0000
Sm: 0.8168 0.1081 0.6336
Sm: 0.1327 0.1682 0.2654
Sm: 0.1832 0.8919 0.3664
Dy: 0.0733 0.4278 0.1465
Dy: 0.7106 0.6009 0.4212
Dy: 0.2894 0.3991 0.5788
Dy: 0.9267 0.5722 0.8535

Entry 7:
The following is a PBE-GGA calculation of a relaxed Sm2Dy12Mg crystal, from the Alexandria database.

D(E_F) in states/eV/cell: 40.5
Magnetic moment in μB/cell: 0.00
Space-group type: C2/m
Energy of formation in eV/atom: 0.11
Electronic total energy in eV per atom: -4.312

Cell lengths 6.6520, 6.6520, 24.3649 Å; angles 94.59, 85.41, 63.60 degrees
Fractional coordinates of all 30 atoms:
Sm: 0.0056 0.4944 0.2661
Sm: 0.4944 0.0056 0.7339
Sm: 0.0126 0.4874 0.7141
Sm: 0.4874 0.0126 0.2859
Dy: 0.6737 0.8263 0.4200
Dy: 0.6437 0.3371 0.4439
Dy: 0.2325 0.2675 0.8941
Dy: 0.1488 0.3512 0.4312
Dy: 0.1629 0.8563 0.4439
Dy: 0.5570 0.3808 0.1935
Dy: 0.3808 0.5570 0.8065
Dy: 0.8263 0.6737 0.5800
Dy: 0.9623 0.0347 0.3272
Dy: 0.2675 0.2325 0.1059
Dy: 0.4653 0.5377 0.3272
Dy: 0.1133 0.8422 0.9342
Dy: 0.7491 0.7509 0.1483
Dy: 0.3867 0.6578 0.0658
Dy: 0.6578 0.3867 0.9342
Dy: 0.3512 0.1488 0.5688
Dy: 0.8563 0.1629 0.5561
Dy: 0.9430 0.1192 0.8065
Dy: 0.5377 0.4653 0.6728
Dy: 0.8422 0.1133 0.0658
Dy: 0.0347 0.9623 0.6728
Dy: 0.7509 0.7491 0.8517
Dy: 0.1192 0.9430 0.1935
Dy: 0.3371 0.6437 0.5561
Mg: 0.9540 0.5460 0.0165
Mg: 0.5460 0.9540 0.9835

Entry 8:
The following is a PBE-GGA calculation of a relaxed Sm2Dy15Mg2 crystal, from the Alexandria database.

D(E_F) in states/eV/cell: 21.9
Magnetic moment in μB/cell: 0.00
Space-group type: R-3m
Energy of formation in eV/atom: 0.22
Electronic total energy in eV per atom: -4.077

Cell lengths 8.6008, 8.6008, 8.6008 Å; angles 81.12, 81.12, 81.12 degrees
Fractional coordinates of all 19 atoms:
Mg: 0.9067 0.9067 0.9067
Mg: 0.0933 0.0933 0.0933
Dy: 0.8510 0.3613 0.3613
Dy: 0.0000 0.5000 0.0000
Dy: 0.2962 0.7038 0.0000
Dy: 0.0000 0.0000 0.5000
Dy: 0.3613 0.8510 0.3613
Dy: 0.0000 0.2962 0.7038
Dy: 0.6387 0.1490 0.6387
Dy: 0.6387 0.6387 0.1490
Dy: 0.3613 0.3613 0.8510
Dy: 0.5000 0.0000 0.0000
Dy: 0.0000 0.7038 0.2962
Dy: 0.7038 0.2962 0.0000
Dy: 0.2962 0.0000 0.7038
Dy: 0.1490 0.6387 0.6387
Dy: 0.7038 0.0000 0.2962
Sm: 0.6738 0.6738 0.6738
Sm: 0.3262 0.3262 0.3262

What is the D(E_F) in the sixth record?
15.7 states/eV/cell

Copy entry 3 word for word.
The following is a PBE-GGA calculation of a relaxed Sm8Dy4Mg crystal, from the Alexandria database.

D(E_F) in states/eV/cell: 18.8
Magnetic moment in μB/cell: 0.00
Space-group type: P-1
Energy of formation in eV/atom: 0.50
Electronic total energy in eV per atom: -3.944

Cell lengths 11.0033, 11.0167, 7.7804 Å; angles 90.35, 134.75, 119.99 degrees
Fractional coordinates of all 13 atoms:
Sm: 0.5100 0.7536 0.7554
Sm: 0.4897 0.2433 0.7345
Sm: 0.9993 0.7545 0.7551
Sm: 0.0007 0.2457 0.7546
Sm: 0.5103 0.7567 0.2655
Sm: 0.0007 0.2455 0.2449
Sm: 0.4900 0.2464 0.2446
Sm: 0.9993 0.7543 0.2454
Dy: 0.0000 0.5000 0.0000
Dy: 0.5000 0.5000 0.0000
Dy: 0.5000 0.0000 0.0000
Dy: 0.0000 0.0000 0.0000
Mg: 0.0000 0.5000 0.5000

What did the third record say?
The following is a PBE-GGA calculation of a relaxed Sm8Dy4Mg crystal, from the Alexandria database.

D(E_F) in states/eV/cell: 18.8
Magnetic moment in μB/cell: 0.00
Space-group type: P-1
Energy of formation in eV/atom: 0.50
Electronic total energy in eV per atom: -3.944

Cell lengths 11.0033, 11.0167, 7.7804 Å; angles 90.35, 134.75, 119.99 degrees
Fractional coordinates of all 13 atoms:
Sm: 0.5100 0.7536 0.7554
Sm: 0.4897 0.2433 0.7345
Sm: 0.9993 0.7545 0.7551
Sm: 0.0007 0.2457 0.7546
Sm: 0.5103 0.7567 0.2655
Sm: 0.0007 0.2455 0.2449
Sm: 0.4900 0.2464 0.2446
Sm: 0.9993 0.7543 0.2454
Dy: 0.0000 0.5000 0.0000
Dy: 0.5000 0.5000 0.0000
Dy: 0.5000 0.0000 0.0000
Dy: 0.0000 0.0000 0.0000
Mg: 0.0000 0.5000 0.5000